(1)
! Ba12Au3Cl5, optimized geometry, DFT PBE; values from VASP
! **Formation energy from raw total energies**: -95.6 kJ/mol of atoms
&SYSTEM
  ibrav = 0, nat = 80, ntyp = 3
/
ATOMIC_SPECIES
Ba 137.33 Ba.upf
Cl 35.45 Cl.upf
Au 196.97 Au.upf
ATOMIC_POSITIONS crystal
Ba 0.822 0.904 0.277
Cl 0.250 0.875 0.125
Ba 0.546 0.223 0.127
Cl 0.500 0.000 0.500
Ba 0.404 0.277 0.322
Cl 0.500 0.000 0.000
Ba 0.873 0.596 0.919
Ba 0.277 0.404 0.822
Ba 0.178 0.081 0.954
Ba 0.322 0.777 0.404
Cl 0.625 0.750 0.875
Au 0.125 0.250 0.875
Au 0.250 0.625 0.875
Au 0.750 0.875 0.625
Ba 0.678 0.223 0.596
Ba 0.419 0.046 0.322
Ba 0.627 0.046 0.223
Cl 0.000 0.000 0.500
Ba 0.678 0.454 0.581
Ba 0.627 0.581 0.904
Ba 0.277 0.873 0.954
Ba 0.723 0.596 0.178
Au 0.375 0.750 0.625
Au 0.625 0.375 0.750
Ba 0.954 0.581 0.178
Cl 0.500 0.500 0.500
Au 0.375 0.625 0.250
Ba 0.822 0.919 0.046
Au 0.875 0.125 0.250
Ba 0.904 0.081 0.627
Ba 0.419 0.373 0.596
Cl 0.500 0.500 0.000
Cl 0.375 0.250 0.125
Cl 0.125 0.375 0.250
Ba 0.454 0.678 0.081
Cl 0.125 0.750 0.375
Ba 0.223 0.546 0.627
Ba 0.322 0.546 0.419
Ba 0.777 0.454 0.373
Ba 0.046 0.419 0.822
Ba 0.081 0.904 0.127
Ba 0.723 0.127 0.046
Cl 0.375 0.125 0.750
Cl 0.000 0.500 0.500
Ba 0.596 0.723 0.678
Ba 0.223 0.678 0.096
Ba 0.919 0.096 0.873
Ba 0.127 0.723 0.546
Ba 0.127 0.404 0.081
Ba 0.454 0.777 0.873
Ba 0.546 0.322 0.919
Au 0.750 0.375 0.125
Cl 0.875 0.250 0.625
Ba 0.373 0.419 0.096
Cl 0.250 0.375 0.625
Ba 0.096 0.919 0.373
Ba 0.373 0.954 0.777
Ba 0.954 0.373 0.277
Cl 0.750 0.625 0.375
Au 0.875 0.750 0.125
Ba 0.046 0.627 0.723
Ba 0.581 0.954 0.678
Ba 0.178 0.096 0.723
Ba 0.081 0.178 0.454
Ba 0.904 0.822 0.777
Ba 0.581 0.627 0.404
Ba 0.777 0.322 0.904
Cl 0.000 0.000 0.000
Au 0.250 0.125 0.375
Au 0.125 0.875 0.750
Au 0.625 0.250 0.375
Cl 0.875 0.625 0.750
Ba 0.404 0.127 0.581
Cl 0.625 0.875 0.250
Ba 0.919 0.822 0.546
Ba 0.096 0.178 0.223
Ba 0.873 0.277 0.454
Cl 0.750 0.125 0.875
Ba 0.596 0.873 0.419
Cl 0.000 0.500 0.000
CELL_PARAMETERS angstrom
-9.448 -13.794 -0.093
11.046 -0.894 12.519
-9.749 13.418 2.117

(2)
! InW2Br, optimized geometry, DFT PBE; values from VASP
! **Excess energy over the best structure of this formula in the dataset**: 591.9 meV per atom
! **Formation energy from raw total energies**: 89.0 kJ/mol of atoms
&SYSTEM
  ibrav = 0, nat = 4, ntyp = 3
/
ATOMIC_SPECIES
In 114.82 In.upf
W 183.84 W.upf
Br 79.90 Br.upf
ATOMIC_POSITIONS crystal
In 0.500 0.750 0.750
W 0.000 0.450 0.588
W 0.000 0.050 0.912
Br 0.500 0.250 0.250
CELL_PARAMETERS angstrom
4.994 0.000 0.000
0.000 3.374 -0.042
0.000 -0.656 5.492

(3)
! ReIr2Os, optimized geometry, DFT PBE; values from VASP
! **Energy of formation**: -0.053 eV/atom
&SYSTEM
  ibrav = 0, nat = 4, ntyp = 3
/
ATOMIC_SPECIES
Ir 192.22 Ir.upf
Os 190.23 Os.upf
Re 186.21 Re.upf
ATOMIC_POSITIONS crystal
Ir 0.500 0.500 0.000
Os 0.250 0.750 0.500
Ir 0.000 0.000 0.000
Re 0.750 0.250 0.500
CELL_PARAMETERS angstrom
-1.687 -0.106 -4.456
3.511 -1.012 -3.061
-1.446 -2.098 4.024

(4)
! LaPm2Nd2Er, optimized geometry, DFT PBE; values from VASP
! **Energy of formation**: 0.054 eV/atom
&SYSTEM
  ibrav = 0, nat = 12, ntyp = 4
/
ATOMIC_SPECIES
La 138.91 La.upf
Pm 145.00 Pm.upf
Nd 144.24 Nd.upf
Er 167.26 Er.upf
ATOMIC_POSITIONS crystal
La 0.000 0.508 0.500
Pm 0.000 0.257 0.836
Pm 0.000 0.757 0.164
Nd 0.500 0.008 0.000
Nd 0.500 0.508 0.000
Nd 0.000 0.758 0.831
Pm 0.500 0.758 0.670
La 0.000 0.008 0.500
Pm 0.500 0.258 0.330
Nd 0.000 0.258 0.169
Er 0.500 0.258 0.665
Er 0.500 0.758 0.335
CELL_PARAMETERS angstrom
5.786 0.000 0.000
0.000 7.137 0.000
0.000 0.000 10.005

(5)
! Cr2FeNiN, optimized geometry, DFT PBE; values from VASP
! **Formation energy from raw total energies**: -11.1 kJ/mol of atoms
&SYSTEM
  ibrav = 0, nat = 5, ntyp = 4
/
ATOMIC_SPECIES
Ni 58.69 Ni.upf
Cr 52.00 Cr.upf
N 14.01 N.upf
Fe 55.84 Fe.upf
ATOMIC_POSITIONS crystal
Ni 0.500 0.500 0.500
Cr 0.500 0.000 0.000
Cr 0.000 0.500 0.000
N 0.000 0.000 0.000
Fe 0.000 0.000 0.500
CELL_PARAMETERS angstrom
3.787 0.000 0.000
0.000 3.787 0.000
0.000 0.000 3.728

(6)
! Al2CrGeRh, optimized geometry, DFT PBE; values from VASP
! **Energy of formation**: 0.885 eV/atom
&SYSTEM
  ibrav = 0, nat = 5, ntyp = 4
/
ATOMIC_SPECIES
Rh 102.91 Rh.upf
Al 26.98 Al.upf
Cr 52.00 Cr.upf
Ge 72.64 Ge.upf
ATOMIC_POSITIONS crystal
Rh 0.500 0.500 0.500
Al 0.000 0.000 0.500
Cr 0.000 0.500 0.000
Al 0.500 0.000 0.000
Ge 0.000 0.000 0.000
CELL_PARAMETERS angstrom
4.622 0.000 0.000
0.000 4.518 0.000
0.000 0.000 4.622

(7)
! Ce3PrPb4, optimized geometry, DFT PBE; values from VASP
! **Excess energy over the best structure of this formula in the dataset**: 151.1 meV per atom
! **Energy of formation**: -0.276 eV/atom
&SYSTEM
  ibrav = 0, nat = 8, ntyp = 3
/
ATOMIC_SPECIES
Pb 207.20 Pb.upf
Ce 140.12 Ce.upf
Pr 140.91 Pr.upf
ATOMIC_POSITIONS crystal
Pb 0.372 0.585 0.744
Pb 0.372 0.158 0.743
Ce 0.784 0.783 0.568
Ce 0.216 0.217 0.432
Ce 0.000 0.500 0.000
Pb 0.628 0.415 0.256
Pr 0.500 0.000 0.000
Pb 0.628 0.842 0.257
CELL_PARAMETERS angstrom
-2.782 -0.148 2.350
3.709 -5.323 4.057
3.516 9.435 1.928

(8)
! LaTa2Cl, optimized geometry, DFT PBE; values from VASP
! **Excess energy over the best structure of this formula in the dataset**: 694.3 meV per atom
! **Formation energy from raw total energies**: 47.9 kJ/mol of atoms
&SYSTEM
  ibrav = 0, nat = 4, ntyp = 3
/
ATOMIC_SPECIES
Ta 180.95 Ta.upf
La 138.91 La.upf
Cl 35.45 Cl.upf
ATOMIC_POSITIONS crystal
Ta 0.513 0.513 0.513
La 0.750 0.750 0.750
Ta 0.987 0.987 0.987
Cl 0.250 0.250 0.250
CELL_PARAMETERS angstrom
-1.553 1.094 -10.159
-3.115 -1.513 -9.738
-4.478 1.189 -9.238

(9)
! KTmRe2O8, optimized geometry, DFT PBE; values from VASP
! **Formation energy from raw total energies**: -194.7 kJ/mol of atoms
&SYSTEM
  ibrav = 0, nat = 12, ntyp = 4
/
ATOMIC_SPECIES
Re 186.21 Re.upf
O 16.00 O.upf
K 39.10 K.upf
Tm 168.93 Tm.upf
ATOMIC_POSITIONS crystal
Re 0.333 0.667 0.761
O 0.831 0.663 0.320
K 0.000 0.000 0.000
O 0.832 0.169 0.320
O 0.663 0.832 0.680
O 0.667 0.333 0.005
O 0.169 0.337 0.680
Tm 0.000 0.000 0.500
O 0.337 0.168 0.320
O 0.168 0.831 0.680
O 0.333 0.667 0.995
Re 0.667 0.333 0.239
CELL_PARAMETERS angstrom
5.974 0.000 0.000
-2.987 5.173 0.000
0.000 0.000 7.541

(10)
! MnBe2Br, optimized geometry, DFT PBE; values from VASP
! **Excess energy over the best structure of this formula in the dataset**: 416.7 meV per atom
! **Formation energy from raw total energies**: 58.2 kJ/mol of atoms
&SYSTEM
  ibrav = 0, nat = 4, ntyp = 3
/
ATOMIC_SPECIES
Be 9.01 Be.upf
Mn 54.94 Mn.upf
Br 79.90 Br.upf
ATOMIC_POSITIONS crystal
Be 0.498 0.498 0.498
Mn 0.750 0.750 0.750
Be 0.002 0.002 0.002
Br 0.250 0.250 0.250
CELL_PARAMETERS angstrom
-1.625 -1.032 -7.023
0.199 -3.439 -6.415
-2.796 -3.559 -5.705

(11)
! NbSeBr2N, optimized geometry, DFT PBE; values from VASP
! **Excess energy over the best structure of this formula in the dataset**: 0.0 meV per atom
! **Formation energy from raw total energies**: 60.3 kJ/mol of atoms
&SYSTEM
  ibrav = 0, nat = 5, ntyp = 4
/
ATOMIC_SPECIES
Br 79.90 Br.upf
Nb 92.91 Nb.upf
N 14.01 N.upf
Se 78.96 Se.upf
ATOMIC_POSITIONS crystal
Br 0.500 0.000 0.000
Nb 0.000 0.000 0.000
Br 0.000 0.500 0.000
N 0.500 0.500 0.500
Se 0.000 0.000 0.500
CELL_PARAMETERS angstrom
5.261 0.000 0.000
0.000 5.261 0.000
0.000 0.000 4.981

(12)
! Ti3BeOs, optimized geometry, DFT PBE; values from VASP
! **Excess energy over the best structure of this formula in the dataset**: 325.3 meV per atom
! **Energy of formation**: 0.804 eV/atom
&SYSTEM
  ibrav = 0, nat = 5, ntyp = 3
/
ATOMIC_SPECIES
Ti 47.87 Ti.upf
Os 190.23 Os.upf
Be 9.01 Be.upf
ATOMIC_POSITIONS crystal
Ti 0.000 0.500 0.000
Os 0.000 0.000 0.000
Ti 0.500 0.000 0.000
Be 0.500 0.500 0.500
Ti 0.000 0.000 0.500
CELL_PARAMETERS angstrom
4.719 0.000 0.000
0.000 4.719 0.000
0.000 0.000 4.719

(13)
! RbNb2Fe, optimized geometry, DFT PBE; values from VASP
! **Excess energy over the best structure of this formula in the dataset**: 0.0 meV per atom
! **Energy of formation**: 1.596 eV/atom
&SYSTEM
  ibrav = 0, nat = 4, ntyp = 3
/
ATOMIC_SPECIES
Nb 92.91 Nb.upf
Fe 55.84 Fe.upf
Rb 85.47 Rb.upf
ATOMIC_POSITIONS crystal
Nb 0.750 0.750 0.750
Fe 0.000 0.000 0.000
Nb 0.250 0.250 0.250
Rb 0.500 0.500 0.500
CELL_PARAMETERS angstrom
0.866 -3.599 -2.866
-3.007 -3.580 -0.237
-2.608 -0.616 -3.839

(14)
! KScIr2, optimized geometry, DFT PBE; values from VASP
! **Excess energy over the best structure of this formula in the dataset**: 488.5 meV per atom
! **Energy of formation**: 0.456 eV/atom
&SYSTEM
  ibrav = 0, nat = 4, ntyp = 3
/
ATOMIC_SPECIES
Sc 44.96 Sc.upf
Ir 192.22 Ir.upf
K 39.10 K.upf
ATOMIC_POSITIONS crystal
Sc 0.000 0.500 0.500
Ir 0.000 0.000 0.000
K 0.500 0.000 0.500
Ir 0.500 0.500 0.000
CELL_PARAMETERS angstrom
5.136 0.034 -0.032
-1.743 4.831 -0.032
0.021 0.031 2.999

(15)
! ReMoSe2, optimized geometry, DFT PBE; values from VASP
! **Excess energy over the best structure of this formula in the dataset**: 866.4 meV per atom
! **Formation energy from raw total energies**: 76.2 kJ/mol of atoms
&SYSTEM
  ibrav = 0, nat = 4, ntyp = 3
/
ATOMIC_SPECIES
Re 186.21 Re.upf
Se 78.96 Se.upf
Mo 95.94 Mo.upf
ATOMIC_POSITIONS crystal
Re 0.750 0.250 0.500
Se 0.505 0.505 0.000
Se 0.995 0.995 0.000
Mo 0.250 0.750 0.500
CELL_PARAMETERS angstrom
5.157 -0.004 -0.001
1.256 5.001 0.001
-2.157 -3.845 2.674

(16)
! PrGaCuAu, optimized geometry, DFT PBE; values from VASP
! **Energy of formation**: -0.400 eV/atom
&SYSTEM
  ibrav = 0, nat = 4, ntyp = 4
/
ATOMIC_SPECIES
Cu 63.55 Cu.upf
Ga 69.72 Ga.upf
Au 196.97 Au.upf
Pr 140.91 Pr.upf
ATOMIC_POSITIONS crystal
Cu 0.250 0.250 0.250
Ga 0.000 0.000 0.000
Au 0.750 0.750 0.750
Pr 0.500 0.500 0.500
CELL_PARAMETERS angstrom
-1.978 1.591 -4.148
-2.423 -3.082 -2.876
-4.832 0.349 -0.412

(17)
! Er4ZnCoRu2, optimized geometry, DFT PBE; values from VASP
! **Energy of formation**: -0.365 eV/atom
&SYSTEM
  ibrav = 0, nat = 8, ntyp = 4
/
ATOMIC_SPECIES
Ru 101.07 Ru.upf
Er 167.26 Er.upf
Co 58.93 Co.upf
Zn 65.41 Zn.upf
ATOMIC_POSITIONS crystal
Ru 0.749 0.749 0.753
Er 0.128 0.128 0.616
Er 0.379 0.379 0.863
Ru 0.251 0.251 0.247
Co 0.500 0.500 0.500
Er 0.872 0.872 0.384
Er 0.621 0.621 0.137
Zn 0.000 0.000 0.000
CELL_PARAMETERS angstrom
-0.790 1.646 -4.431
-3.009 -2.322 -2.918
-7.206 4.114 0.221

(18)
! Ba14Na6Ni3, optimized geometry, DFT PBE; values from VASP
! **Energy of formation**: 0.056 eV/atom
&SYSTEM
  ibrav = 0, nat = 23, ntyp = 3
/
ATOMIC_SPECIES
Ba 137.33 Ba.upf
Na 22.99 Na.upf
Ni 58.69 Ni.upf
ATOMIC_POSITIONS crystal
Ba 0.001 0.333 0.667
Ba 0.931 0.121 0.241
Ba 0.676 0.780 0.561
Na 0.231 0.867 0.734
Ba 0.437 0.213 0.426
Na 0.231 0.266 0.133
Ba 0.490 0.000 0.000
Ni 0.114 0.000 0.000
Ba 0.437 0.213 0.787
Ba 0.931 0.759 0.880
Na 0.231 0.867 0.133
Ni 0.624 0.333 0.667
Ba 0.676 0.439 0.220
Na 0.743 0.467 0.934
Ba 0.676 0.780 0.220
Na 0.743 0.066 0.533
Ba 0.437 0.574 0.787
Na 0.743 0.467 0.533
Ba 0.207 0.893 0.447
Ba 0.207 0.553 0.107
Ni 0.442 0.667 0.333
Ba 0.931 0.120 0.879
Ba 0.207 0.553 0.447
CELL_PARAMETERS angstrom
7.990 0.000 0.000
0.000 11.147 -6.436
0.000 0.000 12.872

(19)
! TcAs2W, optimized geometry, DFT PBE; values from VASP
! **Excess energy over the best structure of this formula in the dataset**: 447.3 meV per atom
! **Energy of formation**: 0.478 eV/atom
&SYSTEM
  ibrav = 0, nat = 4, ntyp = 3
/
ATOMIC_SPECIES
As 74.92 As.upf
W 183.84 W.upf
Tc 98.00 Tc.upf
ATOMIC_POSITIONS crystal
As 0.000 0.000 0.495
W 0.500 0.500 0.750
Tc 0.500 0.500 0.250
As 0.000 0.000 0.005
CELL_PARAMETERS angstrom
3.001 -0.006 0.000
-1.389 2.660 0.000
0.000 0.000 8.103

(20)
! Mg2Tl3, optimized geometry, DFT PBE; values from VASP
! **Excess energy over the best structure of this formula in the dataset**: 111.3 meV per atom
! **Energy of formation**: 0.087 eV/atom
&SYSTEM
  ibrav = 0, nat = 10, ntyp = 2
/
ATOMIC_SPECIES
Mg 24.30 Mg.upf
Tl 204.38 Tl.upf
ATOMIC_POSITIONS crystal
Mg 0.684 0.684 0.947
Tl 0.669 0.831 0.250
Tl 0.331 0.169 0.750
Tl 0.750 0.331 0.750
Tl 0.831 0.250 0.250
Mg 0.184 0.184 0.447
Mg 0.816 0.816 0.553
Tl 0.250 0.669 0.250
Tl 0.169 0.750 0.750
Mg 0.316 0.316 0.053
CELL_PARAMETERS angstrom
-5.362 3.624 1.364
-3.865 2.165 -4.911
-7.222 -4.386 -0.704

Number 1: total moment 0.165 μB per atom, density 4.46 Mg/m³. Number 2: total moment 0.000 μB per atom, density 10.11 Mg/m³. Number 3: total moment 0.000 μB per atom, density 21.76 Mg/m³. Number 4: total moment 0.000 μB per atom, density 7.11 Mg/m³. Number 5: total moment 0.043 μB per atom, density 7.22 Mg/m³. Number 6: total moment 0.617 μB per atom, density 4.84 Mg/m³. Number 7: total moment 0.369 μB per atom, density 8.87 Mg/m³. Number 8: total moment 0.000 μB per atom, density 10.73 Mg/m³. Number 9: total moment 0.169 μB per atom, density 5.05 Mg/m³. Number 10: total moment 0.853 μB per atom, density 4.37 Mg/m³. Number 11: total moment 0.579 μB per atom, density 4.16 Mg/m³. Number 12: total moment 0.294 μB per atom, density 5.42 Mg/m³. Number 13: total moment 0.000 μB per atom, density 7.49 Mg/m³. Number 14: total moment 0.000 μB per atom, density 10.43 Mg/m³. Number 15: total moment 0.000 μB per atom, density 10.59 Mg/m³. Number 16: total moment 0.000 μB per atom, density 9.62 Mg/m³. Number 17: total moment 0.000 μB per atom, density 10.62 Mg/m³. Number 18: total moment 0.000 μB per atom, density 3.24 Mg/m³. Number 19: total moment 0.000 μB per atom, density 11.10 Mg/m³. Number 20: total moment 0.000 μB per atom, density 7.66 Mg/m³.